## A
First-principles (PBE) data for an optimized crystal structure of Na2LaSi2, as listed in the Alexandria database.

Cell and atoms, written as POSCAR:
```
Na2LaSi2
1.0
7.518 0.000 0.000
0.000 7.518 0.000
0.000 0.000 4.871
Na La Si
4 2 4
direct
0.165 0.335 0.000
0.335 0.835 0.000
0.665 0.165 0.000
0.835 0.665 0.000
0.000 0.000 0.500
0.500 0.500 0.500
0.109 0.609 0.500
0.391 0.109 0.500
0.609 0.891 0.500
0.891 0.391 0.500
```

Computed properties:
symmetry = P4/mbm


## B
First-principles (PBE) data for an optimized crystal structure of Na2LaSi2, as listed in the Alexandria database.

Cell and atoms, written as POSCAR:
```
Na2LaSi2
1.0
4.325 0.000 0.000
0.000 4.325 0.000
0.000 0.000 13.257
Na La Si
4 2 4
direct
0.000 0.500 0.250
0.000 0.500 0.750
0.500 0.000 0.250
0.500 0.000 0.750
0.000 0.000 0.000
0.500 0.500 0.500
0.000 0.000 0.413
0.000 0.000 0.587
0.500 0.500 0.087
0.500 0.500 0.913
```

Computed properties:
symmetry = I4/mmm


Need the numbers? Relative energies in meV per atom: A 231; B 0.